The following is a DFT calculation (GGA-PBE) of an optimized crystal structure of Sr2TcBr.

abc: 7.2199 7.2199 7.2199
angles: 144.12 144.12 51.65
Closest atoms and distances in Å follow each position.
Positions (direct):
Sr: 0.0000 0.0000 0.0000  4 Br 3.15
Sr: 0.7500 0.2500 0.5000  4 Tc 3.15
Tc: 0.2500 0.7500 0.5000  4 Sr 3.15
Br: 0.5000 0.5000 0.0000  4 Sr 3.15

Values from the calculation:
Space group: I-4m2
Raw formation energy: 238 meV/atom



The following is a DFT calculation (GGA-PBE) of an optimized crystal structure of PmEr3In4.

abc: 10.7495 7.2103 5.4889
angles: 90.00 90.00 90.00
Closest atoms and distances in Å follow each position.
Positions (direct):
Pm: 0.0000 0.0000 0.0000  8 In 3.30-3.31, 4 Er 3.58-3.61
Pm: 0.5000 0.0000 0.0000  8 In 3.30-3.31, 4 Er 3.58-3.61
Er: 0.0000 0.5000 0.0000  8 In 3.24-3.25, 2 Er 3.54, 2 Pm 3.61
Er: 0.2500 0.0000 0.4304  8 In 3.24-3.38, 2 Pm 3.58, 2 Er 3.61
Er: 0.2500 0.5000 0.4197  8 In 3.23-3.28, 4 Er 3.54-3.61
Er: 0.5000 0.5000 0.0000  8 In 3.24-3.25, 2 Er 3.54, 2 Pm 3.61
Er: 0.7500 0.0000 0.5696  8 In 3.24-3.38, 2 Pm 3.58, 2 Er 3.61
Er: 0.7500 0.5000 0.5803  8 In 3.23-3.28, 4 Er 3.54-3.61
In: 0.0000 0.2575 0.5000  6 Er 3.24-3.29, 2 Pm 3.31, 3 In 3.50-3.52
In: 0.0000 0.7425 0.5000  6 Er 3.24-3.29, 2 Pm 3.31, 3 In 3.50-3.52
In: 0.2500 0.2571 0.9150  6 Er 3.23-3.38, 2 Pm 3.30, 3 In 3.50-3.52
In: 0.2500 0.7429 0.9150  6 Er 3.23-3.38, 2 Pm 3.30, 3 In 3.50-3.52
In: 0.5000 0.2575 0.5000  6 Er 3.24-3.29, 2 Pm 3.31, 3 In 3.50-3.52
In: 0.5000 0.7425 0.5000  6 Er 3.24-3.29, 2 Pm 3.31, 3 In 3.50-3.52
In: 0.7500 0.2571 0.0850  6 Er 3.23-3.38, 2 Pm 3.30, 3 In 3.50-3.52
In: 0.7500 0.7429 0.0850  6 Er 3.23-3.38, 2 Pm 3.30, 3 In 3.50-3.52

Values from the calculation:
Space group: Pmma
Calculated formation energy: -452 meV/atom



The following is a DFT calculation (GGA-PBE) of an optimized crystal structure of Sc3AgSe.

abc: 4.9731 4.9731 4.9731
angles: 90.00 90.00 90.00
Closest atoms and distances in Å follow each position.
Positions (direct):
Sc: 0.0000 0.0000 0.5000  2 Se 2.49
Sc: 0.0000 0.5000 0.0000  2 Se 2.49
Sc: 0.5000 0.0000 0.0000  2 Se 2.49
Ag: 0.5000 0.5000 0.5000  12 Sc 3.52
Se: 0.0000 0.0000 0.0000  6 Sc 2.49

Values from the calculation:
Space group: Pm-3m
Raw formation energy: -340 meV/atom



The following is a DFT calculation (GGA-PBE) of an optimized crystal structure of MgGaRu.

abc: 4.4320 4.5159 5.3050
angles: 90.00 114.65 90.00
Closest atoms and distances in Å follow each position.
Positions (direct):
Mg: 0.0873 0.2500 0.1722  4 Ru 2.71-2.77, 2 Mg 2.80, 3 Ga 2.80-3.00
Mg: 0.9127 0.7500 0.8278  4 Ru 2.71-2.77, 2 Mg 2.80, 3 Ga 2.80-3.00
Ga: 0.3775 0.2500 0.7535  4 Ru 2.49-2.61
Ga: 0.6225 0.7500 0.2465  4 Ru 2.49-2.61
Ru: 0.2402 0.7500 0.4822  4 Ga 2.49-2.61, 4 Mg 2.71-2.77
Ru: 0.7598 0.2500 0.5178  4 Ga 2.49-2.61, 4 Mg 2.71-2.77

Values from the calculation:
Space group: P2_1/m
Calculated formation energy: -255 meV/atom



The following is a DFT calculation (GGA-PBE) of an optimized crystal structure of K2RhAu.

abc: 3.6749 3.6749 9.7051
angles: 90.00 90.00 90.00
Closest atoms and distances in Å follow each position.
Positions (direct):
K: 0.0000 0.0000 0.0000  1 Rh 3.03
K: 0.5000 0.5000 0.4371  1 Au 3.11
Rh: 0.0000 0.0000 0.6882  4 Au 2.68
Au: 0.5000 0.5000 0.7577  4 Rh 2.68

Values from the calculation:
Space group: P4mm
Calculated formation energy: 201 meV/atom



The following is a DFT calculation (GGA-PBE) of an optimized crystal structure of BaLaFe2.

abc: 5.9573 5.9573 5.9573
angles: 136.57 136.57 63.10
Closest atoms and distances in Å follow each position.
Positions (direct):
Ba: 0.0000 0.0000 0.0000  8 Fe 3.12-3.36, 4 La 3.36
La: 0.7500 0.2500 0.5000  8 Fe 3.12-3.36, 4 Ba 3.36
Fe: 0.2500 0.7500 0.5000  4 La 3.12, 4 Ba 3.36, 4 Fe 3.36
Fe: 0.5000 0.5000 0.0000  4 Ba 3.12, 4 La 3.36, 4 Fe 3.36

Values from the calculation:
Space group: I-4m2
Calculated formation energy: 794 meV/atom



The following is a DFT calculation (GGA-PBE) of an optimized crystal structure of V2MoOsN.

abc: 3.9363 3.9363 4.0734
angles: 90.00 90.00 90.00
Closest atoms and distances in Å follow each position.
Positions (direct):
V: 0.0000 0.5000 0.0000  2 N 1.97
V: 0.5000 0.0000 0.0000  2 N 1.97
Mo: 0.0000 0.0000 0.5000  2 N 2.04
Os: 0.5000 0.5000 0.5000  4 Mo 2.78, 8 V 2.83
N: 0.0000 0.0000 0.0000  4 V 1.97, 2 Mo 2.04

Values from the calculation:
Space group: P4/mmm
Raw formation energy: -378 meV/atom



The following is a DFT calculation (GGA-PBE) of an optimized crystal structure of GaAs2WBr.

abc: 4.8538 4.8538 5.5798
angles: 90.00 90.00 90.00
Closest atoms and distances in Å follow each position.
Positions (direct):
Ga: 0.0000 0.0000 0.0000  4 Br 3.43, 8 As 3.70
As: 0.0000 0.5000 0.5000  2 W 2.43
As: 0.5000 0.0000 0.5000  2 W 2.43
W: 0.5000 0.5000 0.5000  4 As 2.43
Br: 0.5000 0.5000 0.0000  2 W 2.79

Values from the calculation:
Space group: P4/mmm
Raw formation energy: 360 meV/atom



The following is a DFT calculation (GGA-PBE) of an optimized crystal structure of PuFe3Si2.

abc: 5.1058 5.1058 3.7395
angles: 90.00 90.00 120.00
Closest atoms and distances in Å follow each position.
Positions (direct):
Pu: 0.0000 0.0000 0.0000  6 Si 2.95, 12 Fe 3.16
Fe: 0.0000 0.5000 0.5000  4 Si 2.38, 4 Fe 2.55
Fe: 0.5000 0.0000 0.5000  4 Si 2.38, 4 Fe 2.55
Fe: 0.5000 0.5000 0.5000  4 Si 2.38, 4 Fe 2.55
Si: 0.3333 0.6667 0.0000  6 Fe 2.38
Si: 0.6667 0.3333 0.0000  6 Fe 2.38

Values from the calculation:
Space group: P6/mmm
Raw formation energy: -417 meV/atom



The following is a DFT calculation (GGA-PBE) of an optimized crystal structure of HfHg2O.

abc: 7.3518 7.3518 7.3518
angles: 94.10 94.10 148.97
Closest atoms and distances in Å follow each position.
Positions (direct):
Hf: 0.0000 0.0000 0.0000  2 O 1.97
Hf: 0.7500 0.2500 0.5000  2 O 1.97
Hg: 0.2392 0.6250 0.1142  2 O 2.89, 2 Hg 3.02, 2 Hf 3.21
Hg: 0.3750 0.4892 0.6142  2 O 2.89, 2 Hg 3.02, 2 Hf 3.21
Hg: 0.5108 0.1250 0.8858  2 O 2.89, 2 Hg 3.02, 2 Hf 3.21
Hg: 0.8750 0.7608 0.3858  2 O 2.89, 2 Hg 3.02, 2 Hf 3.21
O: 0.2500 0.7500 0.5000  2 Hf 1.97
O: 0.5000 0.5000 0.0000  2 Hf 1.97

Values from the calculation:
Space group: I-42d
Raw formation energy: -660 meV/atom



The following is a DFT calculation (GGA-PBE) of an optimized crystal structure of PuZn7Cu5.

abc: 6.7190 6.7190 6.7190
angles: 136.81 97.29 98.28
Closest atoms and distances in Å follow each position.
Positions (direct):
Pu: 0.0000 0.0000 0.0000  10 Zn 3.02-3.19, 6 Cu 3.11-3.30
Zn: 0.2048 0.4927 0.7121  5 Cu 2.53-2.71, 3 Zn 2.71-2.76
Zn: 0.3362 0.9868 0.3495  5 Cu 2.64-2.74, 4 Zn 2.67-2.83
Zn: 0.3439 0.3439 0.0000  3 Zn 2.68-2.87, 6 Cu 2.69-2.72
Zn: 0.6373 0.9868 0.6505  5 Cu 2.64-2.74, 4 Zn 2.67-2.83
Zn: 0.6483 0.6483 0.0000  4 Cu 2.67, 5 Zn 2.68-2.90
Zn: 0.7706 0.2706 0.5000  4 Cu 2.56, 6 Zn 2.70-2.83
Zn: 0.7806 0.4927 0.2879  5 Cu 2.53-2.71, 3 Zn 2.71-2.76
Cu: 0.2149 0.7149 0.5000  4 Cu 2.55, 6 Zn 2.71-2.74
Cu: 0.4897 0.4902 0.4989  3 Cu 2.47-2.55, 7 Zn 2.53-2.70
Cu: 0.4897 0.9908 0.9995  3 Cu 2.47-2.55, 7 Zn 2.53-2.70
Cu: 0.9913 0.4902 0.0005  3 Cu 2.47-2.55, 7 Zn 2.53-2.70
Cu: 0.9913 0.9908 0.5011  3 Cu 2.47-2.55, 7 Zn 2.53-2.70

Values from the calculation:
Space group: Imm2
Calculated formation energy: -103 meV/atom



The following is a DFT calculation (GGA-PBE) of an optimized crystal structure of AlCo2NiH.

abc: 3.6007 3.6007 3.6347
angles: 90.00 90.00 90.00
Closest atoms and distances in Å follow each position.
Positions (direct):
Al: 0.0000 0.0000 0.0000  4 Ni 2.55, 8 Co 2.56
Co: 0.0000 0.5000 0.5000  2 H 1.80
Co: 0.5000 0.0000 0.5000  2 H 1.80
Ni: 0.5000 0.5000 0.0000  2 H 1.82
H: 0.5000 0.5000 0.5000  4 Co 1.80, 2 Ni 1.82

Values from the calculation:
Space group: P4/mmm



Number 1: raw total energy -14.45 eV per cell. Number 2: raw total energy -66.02 eV per cell. Number 3: raw total energy -27.03 eV per cell. Number 4: raw total energy -29.32 eV per cell. Number 5: raw total energy -12.02 eV per cell. Number 6: raw total energy -20.60 eV per cell. Number 7: raw total energy -50.51 eV per cell. Number 8: raw total energy -25.15 eV per cell. Number 9: raw total energy -53.07 eV per cell. Number 10: raw total energy -36.31 eV per cell. Number 11: raw total energy -45.07 eV per cell. Number 12: raw total energy -28.43 eV per cell.